No. 1
A plane-wave DFT calculation with PBE was carried out for a relaxed structure of LaSmMgAl.

a = 7.6201 Å, b = 7.6201 Å, c = 7.6201 Å
α = 90.00°, β = 90.00°, γ = 90.00°
Last column: nearest neighbours and their distance in Å.
Space group F-43m (No. 216)
Inequivalent atoms, fractional coordinates:
La 0.0000 0.0000 0.0000 [4 per cell]  4 Mg 3.30, 4 Al 3.30
Sm 0.0000 0.0000 0.5000 [4 per cell]  4 Mg 3.30, 4 Al 3.30
Mg 0.2500 0.2500 0.2500 [4 per cell]  4 La 3.30, 4 Sm 3.30
Al 0.2500 0.2500 0.7500 [4 per cell]  4 La 3.30, 4 Sm 3.30

Values from the calculation:
DOS at the Fermi energy = 13.61 states/eV per cell
ΔH_f (0 K) = -0.26 eV per atom

=====

No. 2
A plane-wave DFT calculation with PBE was carried out for a relaxed structure of SrLaMgAl.

a = 7.8999 Å, b = 7.8999 Å, c = 7.8999 Å
α = 90.00°, β = 90.00°, γ = 90.00°
Last column: nearest neighbours and their distance in Å.
Space group F-43m (No. 216)
Inequivalent atoms, fractional coordinates:
Sr 0.0000 0.0000 0.0000 [4 per cell]  4 Al 3.42, 4 Mg 3.42
La 0.0000 0.0000 0.5000 [4 per cell]  4 Mg 3.42, 4 Al 3.42
Mg 0.2500 0.2500 0.7500 [4 per cell]  4 Sr 3.42, 4 La 3.42
Al 0.2500 0.2500 0.2500 [4 per cell]  4 La 3.42, 4 Sr 3.42

Values from the calculation:
DOS at the Fermi energy = 11.57 states/eV per cell
ΔH_f (0 K) = -0.14 eV per atom

=====

No. 3
A plane-wave DFT calculation with PBE was carried out for a relaxed structure of LaTbMgAl.

a = 7.5649 Å, b = 7.5649 Å, c = 7.5649 Å
α = 90.00°, β = 90.00°, γ = 90.00°
Last column: nearest neighbours and their distance in Å.
Space group F-43m (No. 216)
Inequivalent atoms, fractional coordinates:
La 0.0000 0.0000 0.0000 [4 per cell]  4 Mg 3.28, 4 Al 3.28
Tb 0.0000 0.0000 0.5000 [4 per cell]  4 Mg 3.28, 4 Al 3.28
Mg 0.2500 0.2500 0.2500 [4 per cell]  4 Tb 3.28, 4 La 3.28
Al 0.2500 0.2500 0.7500 [4 per cell]  4 Tb 3.28, 4 La 3.28

Values from the calculation:
DOS at the Fermi energy = 12.73 states/eV per cell
ΔH_f (0 K) = -0.26 eV per atom

=====

> Number 3 is which compound?

LaTbMgAl

=====

Repeat the second record exactly.
A plane-wave DFT calculation with PBE was carried out for a relaxed structure of SrLaMgAl.

a = 7.8999 Å, b = 7.8999 Å, c = 7.8999 Å
α = 90.00°, β = 90.00°, γ = 90.00°
Last column: nearest neighbours and their distance in Å.
Space group F-43m (No. 216)
Inequivalent atoms, fractional coordinates:
Sr 0.0000 0.0000 0.0000 [4 per cell]  4 Al 3.42, 4 Mg 3.42
La 0.0000 0.0000 0.5000 [4 per cell]  4 Mg 3.42, 4 Al 3.42
Mg 0.2500 0.2500 0.7500 [4 per cell]  4 Sr 3.42, 4 La 3.42
Al 0.2500 0.2500 0.2500 [4 per cell]  4 La 3.42, 4 Sr 3.42

Values from the calculation:
DOS at the Fermi energy = 11.57 states/eV per cell
ΔH_f (0 K) = -0.14 eV per atom

=====

What did the third record say?
A plane-wave DFT calculation with PBE was carried out for a relaxed structure of LaTbMgAl.

a = 7.5649 Å, b = 7.5649 Å, c = 7.5649 Å
α = 90.00°, β = 90.00°, γ = 90.00°
Last column: nearest neighbours and their distance in Å.
Space group F-43m (No. 216)
Inequivalent atoms, fractional coordinates:
La 0.0000 0.0000 0.0000 [4 per cell]  4 Mg 3.28, 4 Al 3.28
Tb 0.0000 0.0000 0.5000 [4 per cell]  4 Mg 3.28, 4 Al 3.28
Mg 0.2500 0.2500 0.2500 [4 per cell]  4 Tb 3.28, 4 La 3.28
Al 0.2500 0.2500 0.7500 [4 per cell]  4 Tb 3.28, 4 La 3.28

Values from the calculation:
DOS at the Fermi energy = 12.73 states/eV per cell
ΔH_f (0 K) = -0.26 eV per atom